No. 1
# V6GaGe

An optimized crystal structure of V6GaGe (PBE-GGA, Alexandria).

Cell and atoms, written as extended XYZ:
```
8
Lattice="-3.937 -0.376 1.699 1.234 -4.787 1.801 1.080 3.898 3.364" Properties=species:S:1:pos:R:3 pbc="T T T"
V 0.561 1.038 1.530
V 1.708 0.598 4.089
V 1.175 -1.469 2.398
V -1.375 -1.671 1.896
V -0.202 -2.122 4.513
V -0.752 -3.943 2.836
Ga 1.095 3.080 3.216
Ge -0.826 0.188 3.580
```

Results
- Total magnetization: 0.00 μB per cell
- E_tot: -8.032 eV/atom
- ΔH_f (0 K): -5.474 kcal/mol of atoms
- SG: Amm2, No. 38


No. 2
# Cs2CoBr

An optimized crystal structure of Cs2CoBr (PBE-GGA, Alexandria).

Cell and atoms, written as extended XYZ:
```
4
Lattice="-1.382 -5.761 -2.177 -0.542 -4.843 4.011 -5.668 -2.530 1.145" Properties=species:S:1:pos:R:3 pbc="T T T"
Cs -1.898 -3.283 0.745
Cs -5.694 -9.850 2.234
Co 0.000 0.000 0.000
Br -3.796 -6.567 1.489
```

Results
- Total magnetization: 2.00 μB per cell
- E_tot: -2.729 eV/atom
- Raw formation energy: -0.108 eV per atom
- SG: Fm-3m, No. 225


No. 3
# CrFe5Co6

An optimized crystal structure of CrFe5Co6 (PBE-GGA, Alexandria).

Cell and atoms, written as extended XYZ:
```
12
Lattice="3.849 0.375 -1.161 -1.199 5.046 -2.344 -0.012 0.029 6.981" Properties=species:S:1:pos:R:3 pbc="T T T"
Cr 0.000 0.000 0.000
Co 0.139 2.185 1.165
Co -0.458 4.698 -0.002
Co 1.622 1.461 -1.172
Co 1.016 3.990 4.648
Co 3.095 0.752 3.478
Co 2.498 3.265 2.311
Fe 0.278 4.354 2.321
Fe 1.762 3.625 -0.008
Fe -0.599 2.523 -1.172
Fe 0.875 1.826 3.484
Fe 2.360 1.097 1.155
```

Results
- Total magnetization: 26.46 μB per cell
- E_tot: -7.880 eV/atom
- ΔH_f (0 K): 0.018 kcal/mol of atoms
- SG: Immm, No. 71


No. 4
# Ac7Pr2

An optimized crystal structure of Ac7Pr2 (PBE-GGA, Alexandria).

Cell and atoms, written as extended XYZ:
```
9
Lattice="6.826 0.000 0.000 -3.413 5.911 0.000 0.000 0.000 9.592" Properties=species:S:1:pos:R:3 pbc="T T T"
Ac 0.000 0.000 0.000
Ac 4.529 0.000 3.161
Ac -2.265 3.922 3.161
Ac 1.148 1.989 3.161
Ac -1.148 1.989 6.432
Ac 2.297 0.000 6.432
Ac 2.265 3.922 6.432
Pr 0.000 3.941 0.000
Pr 3.413 1.970 0.000
```

Results
- Total magnetization: 0.00 μB per cell
- E_tot: -4.233 eV/atom
- ΔH_f (0 K): 0.556 kcal/mol of atoms
- SG: P-31m, No. 162


No. 5
# SbP7

An optimized crystal structure of SbP7 (PBE-GGA, Alexandria).

Cell and atoms, written as extended XYZ:
```
8
Lattice="0.000 4.027 4.027 4.027 0.000 4.027 4.027 4.027 0.000" Properties=species:S:1:pos:R:3 pbc="T T T"
Sb 0.000 0.000 0.000
P 2.013 2.013 4.027
P 2.013 4.027 2.013
P 0.000 2.013 2.013
P 2.013 2.013 0.000
P 2.013 0.000 2.013
P 4.027 2.013 2.013
P 4.027 4.027 4.027
```

Results
- Total magnetization: 0.00 μB per cell
- E_tot: -4.343 eV/atom
- Raw formation energy: 0.906 eV per atom
- SG: Fm-3m, No. 225


No. 6
# BaLiTbSbO6

An optimized crystal structure of BaLiTbSbO6 (PBE-GGA, Alexandria).

Cell and atoms, written as extended XYZ:
```
10
Lattice="0.000 4.236 4.236 4.236 0.000 4.236 4.236 4.236 0.000" Properties=species:S:1:pos:R:3 pbc="T T T"
Ba 6.353 6.353 6.353
Li 2.118 2.118 2.118
Tb 4.236 4.236 4.236
Sb 0.000 0.000 0.000
O 4.236 1.997 4.236
O 4.236 6.475 4.236
O 6.475 4.236 4.236
O 1.997 4.236 4.236
O 4.236 4.236 1.997
O 4.236 4.236 6.475
```

Results
- Total magnetization: 1.03 μB per cell
- E_tot: -6.398 eV/atom
- Raw formation energy: -2.164 eV per atom
- SG: F-43m, No. 216